Entry 1:
A plane-wave DFT calculation with PBE-GGA was carried out for an optimized crystal structure of Ac2Ce3NdBi6.

Structure (CIF):
```
data_Ac2Ce3NdBi6
_symmetry_space_group_name_H-M 'P 1'
_symmetry_Int_Tables_number 1
_cell_length_a 8.140
_cell_length_b 8.140
_cell_length_c 8.143
_cell_angle_alpha 99.61
_cell_angle_beta 99.61
_cell_angle_gamma 120.00
loop_
_symmetry_equiv_pos_as_xyz
'x,y,z'
loop_
_atom_site_label
_atom_site_fract_x
_atom_site_fract_y
_atom_site_fract_z
_atom_site_occupancy
Ac1 0.334 0.666 0.000 1
Ac2 0.666 0.334 0.000 1
Ce1 0.169 0.831 0.500 1
Ce2 0.831 0.169 0.500 1
Ce3 0.500 0.500 0.500 1
Nd1 0.000 0.000 0.000 1
Bi1 0.913 0.588 0.739 1
Bi2 0.763 0.763 0.264 1
Bi3 0.087 0.412 0.261 1
Bi4 0.588 0.913 0.739 1
Bi5 0.237 0.237 0.736 1
Bi6 0.412 0.087 0.261 1
```

The space group is No. 12. The electronic total energy comes out at -5.385 eV/atom. The formation enthalpy at 0 K comes out at -0.88 eV per atom.

Entry 2:
A plane-wave DFT calculation with PBE-GGA was carried out for an optimized crystal structure of KHfGa.

Structure (CIF):
```
data_KHfGa
_symmetry_space_group_name_H-M 'P 1'
_symmetry_Int_Tables_number 1
_cell_length_a 5.283
_cell_length_b 5.283
_cell_length_c 5.862
_cell_angle_alpha 90.00
_cell_angle_beta 90.00
_cell_angle_gamma 120.00
loop_
_symmetry_equiv_pos_as_xyz
'x,y,z'
loop_
_atom_site_label
_atom_site_fract_x
_atom_site_fract_y
_atom_site_fract_z
_atom_site_occupancy
K1 0.000 0.000 0.000 1
K2 0.000 0.000 0.500 1
Hf1 0.333 0.667 0.250 1
Hf2 0.667 0.333 0.750 1
Ga1 0.333 0.667 0.750 1
Ga2 0.667 0.333 0.250 1
```

The space group is No. 194. The electronic total energy comes out at -4.180 eV/atom. The formation enthalpy at 0 K comes out at 0.51 eV per atom.

Entry 3:
A plane-wave DFT calculation with PBE-GGA was carried out for an optimized crystal structure of PmHo6Tm.

Structure (CIF):
```
data_PmHo6Tm
_symmetry_space_group_name_H-M 'P 1'
_symmetry_Int_Tables_number 1
_cell_length_a 6.695
_cell_length_b 6.521
_cell_length_c 6.894
_cell_angle_alpha 103.82
_cell_angle_beta 61.51
_cell_angle_gamma 89.77
loop_
_symmetry_equiv_pos_as_xyz
'x,y,z'
loop_
_atom_site_label
_atom_site_fract_x
_atom_site_fract_y
_atom_site_fract_z
_atom_site_occupancy
Pm1 0.000 0.000 0.000 1
Ho1 0.096 0.728 0.473 1
Ho2 0.577 0.768 0.516 1
Ho3 0.423 0.232 0.484 1
Ho4 0.904 0.272 0.527 1
Ho5 0.548 0.747 0.997 1
Ho6 0.452 0.253 0.003 1
Tm1 0.000 0.500 0.000 1
```

The space group is No. 2. The electronic total energy comes out at -4.377 eV/atom. The formation enthalpy at 0 K comes out at 0.21 eV per atom.

Entry 4:
A plane-wave DFT calculation with PBE-GGA was carried out for an optimized crystal structure of ErNp3Ga12.

Structure (CIF):
```
data_ErNp3Ga12
_symmetry_space_group_name_H-M 'P 1'
_symmetry_Int_Tables_number 1
_cell_length_a 4.250
_cell_length_b 4.250
_cell_length_c 17.107
_cell_angle_alpha 90.00
_cell_angle_beta 90.00
_cell_angle_gamma 90.00
loop_
_symmetry_equiv_pos_as_xyz
'x,y,z'
loop_
_atom_site_label
_atom_site_fract_x
_atom_site_fract_y
_atom_site_fract_z
_atom_site_occupancy
Er1 0.000 0.000 0.000 1
Np1 0.000 0.000 0.249 1
Np2 0.000 0.000 0.500 1
Np3 0.000 0.000 0.751 1
Ga1 0.500 0.500 0.000 1
Ga2 0.500 0.500 0.251 1
Ga3 0.500 0.500 0.500 1
Ga4 0.500 0.500 0.749 1
Ga5 0.500 0.000 0.125 1
Ga6 0.500 0.000 0.375 1
Ga7 0.500 0.000 0.625 1
Ga8 0.500 0.000 0.875 1
Ga9 0.000 0.500 0.125 1
Ga10 0.000 0.500 0.375 1
Ga11 0.000 0.500 0.625 1
Ga12 0.000 0.500 0.875 1
```

The space group is No. 123. The electronic total energy comes out at -5.265 eV/atom. The formation enthalpy at 0 K comes out at -0.28 eV per atom.

Look up the electronic total energy of the fourth one. -5.265 eV/atom

Please write out number 4 again, unchanged.
A plane-wave DFT calculation with PBE-GGA was carried out for an optimized crystal structure of ErNp3Ga12.

Structure (CIF):
```
data_ErNp3Ga12
_symmetry_space_group_name_H-M 'P 1'
_symmetry_Int_Tables_number 1
_cell_length_a 4.250
_cell_length_b 4.250
_cell_length_c 17.107
_cell_angle_alpha 90.00
_cell_angle_beta 90.00
_cell_angle_gamma 90.00
loop_
_symmetry_equiv_pos_as_xyz
'x,y,z'
loop_
_atom_site_label
_atom_site_fract_x
_atom_site_fract_y
_atom_site_fract_z
_atom_site_occupancy
Er1 0.000 0.000 0.000 1
Np1 0.000 0.000 0.249 1
Np2 0.000 0.000 0.500 1
Np3 0.000 0.000 0.751 1
Ga1 0.500 0.500 0.000 1
Ga2 0.500 0.500 0.251 1
Ga3 0.500 0.500 0.500 1
Ga4 0.500 0.500 0.749 1
Ga5 0.500 0.000 0.125 1
Ga6 0.500 0.000 0.375 1
Ga7 0.500 0.000 0.625 1
Ga8 0.500 0.000 0.875 1
Ga9 0.000 0.500 0.125 1
Ga10 0.000 0.500 0.375 1
Ga11 0.000 0.500 0.625 1
Ga12 0.000 0.500 0.875 1
```

The space group is No. 123. The electronic total energy comes out at -5.265 eV/atom. The formation enthalpy at 0 K comes out at -0.28 eV per atom.